[1]
Material: SnTeRh2Br
Method: DFT, PBE
State: relaxed

Cell and atoms, written as POSCAR:
```
SnTeRh2Br
1.0
-1.115 4.289 -2.333
-3.851 0.946 3.580
3.287 2.429 2.894
Te Rh Sn Br
1 2 1 1
Direct
0.500 0.500 0.500
0.000 0.000 0.500
0.500 0.000 0.000
0.000 0.000 0.000
0.000 0.500 0.000
```

Output
* formation energy (no corrections): 907 meV per atom
* magnetic moment: 0.00 μB/cell
* DOS(E_F): 6.8 states/eV/f.u.
* V: 134.0 Å³ per cell

[2]
Material: Tl2SnRhBr
Method: DFT, PBE
State: relaxed

Cell and atoms, written as POSCAR:
```
Tl2SnRhBr
1.0
-1.989 -0.084 4.975
3.990 -3.228 1.541
2.819 4.056 1.195
Tl Rh Sn Br
2 1 1 1
Direct
0.000 0.500 0.000
0.500 0.000 0.000
0.000 0.000 0.000
0.000 0.000 0.500
0.500 0.500 0.500
```

Output
* formation energy (no corrections): -353 meV per atom
* magnetic moment: 0.00 μB/cell
* DOS(E_F): 1.1 states/eV/f.u.
* V: 145.9 Å³ per cell

[3]
Material: SrRhBr
Method: DFT, PBE
State: relaxed

Cell and atoms, written as POSCAR:
```
SrRhBr
1.0
-3.475 1.011 -1.133
1.115 -0.222 -3.619
-0.857 -11.717 -1.530
Sr Rh Br
2 2 2
Direct
0.579 0.731 0.112
0.362 0.949 0.676
0.471 0.341 0.894
0.971 0.841 0.894
0.795 0.516 0.541
0.145 0.164 0.246
```

Output
* formation energy (no corrections): -959 meV per atom
* magnetic moment: 0.99 μB/cell
* DOS(E_F): 2.0 states/eV/f.u.
* V: 166.0 Å³ per cell

[4]
Material: Sr2RhBr
Method: DFT, PBE
State: relaxed

Cell and atoms, written as POSCAR:
```
Sr2RhBr
1.0
5.339 0.000 0.000
2.669 4.623 0.000
2.669 1.541 4.359
Sr Rh Br
2 1 1
Direct
0.000 0.000 0.000
0.250 0.250 0.250
0.750 0.750 0.750
0.500 0.500 0.500
```

Output
* formation energy (no corrections): -91 meV per atom
* magnetic moment: 0.00 μB/cell
* DOS(E_F): 1.4 states/eV/f.u.
* V: 107.6 Å³ per cell

[5]
Material: Sr4RhBr2
Method: DFT, PBE
State: relaxed

Cell and atoms, written as POSCAR:
```
Sr4RhBr2
1.0
-0.087 -4.806 -3.371
1.720 -3.245 4.581
-6.690 -5.256 2.553
Sr Rh Br
4 1 2
Direct
0.807 0.807 0.387
0.193 0.193 0.613
0.000 0.500 0.000
0.500 0.000 0.000
0.000 0.000 0.000
0.610 0.610 0.779
0.390 0.390 0.221
```

Output
* formation energy (no corrections): -813 meV per atom
* magnetic moment: 0.61 μB/cell
* DOS(E_F): 4.4 states/eV/f.u.
* V: 270.7 Å³ per cell

[6]
Material: SrRhBr
Method: DFT, PBE
State: relaxed

Cell and atoms, written as POSCAR:
```
SrRhBr
1.0
8.760 0.000 0.000
0.000 6.485 0.000
0.000 0.000 5.517
Sr Rh Br
4 4 4
Direct
0.750 0.250 0.750
0.750 0.750 0.250
0.250 0.750 0.250
0.250 0.250 0.750
0.500 0.250 0.129
0.000 0.750 0.629
0.500 0.750 0.871
0.000 0.250 0.371
0.000 0.000 0.000
0.500 0.500 0.500
0.500 0.000 0.500
0.000 0.500 0.000
```

Output
* formation energy (no corrections): -380 meV per atom
* magnetic moment: 0.00 μB/cell
* DOS(E_F): 0.6 states/eV/f.u.
* V: 313.4 Å³ per cell

[7]
Material: Sr2RhBr
Method: DFT, PBE
State: relaxed

Cell and atoms, written as POSCAR:
```
Sr2RhBr
1.0
8.246 -0.010 -0.006
7.125 4.151 -0.006
7.125 1.920 3.681
Sr Rh Br
2 1 1
Direct
0.069 0.069 0.069
0.265 0.265 0.265
0.667 0.667 0.667
0.499 0.499 0.499
```

Output
* formation energy (no corrections): -854 meV per atom
* magnetic moment: 0.00 μB/cell
* DOS(E_F): 2.0 states/eV/f.u.
* V: 126.4 Å³ per cell

[8]
Material: SrRhBr
Method: DFT, PBE
State: relaxed

Cell and atoms, written as POSCAR:
```
SrRhBr
1.0
4.231 0.040 -0.018
1.885 3.791 -0.016
0.559 0.347 11.674
Sr Rh Br
2 2 2
Direct
0.220 0.022 0.093
0.249 0.052 0.695
0.559 0.359 0.892
0.912 0.713 0.896
0.918 0.720 0.545
0.552 0.354 0.242
```

Output
* formation energy (no corrections): -1024 meV per atom
* magnetic moment: 0.98 μB/cell
* DOS(E_F): 1.8 states/eV/f.u.
* V: 186.4 Å³ per cell